*one*
# SCAN KYBr2, PBEsol geometry
data_KYBr2
_cell_length_a 3.7671
_cell_length_b 3.7671
_cell_length_c 26.4055
_cell_angle_alpha 90.00
_cell_angle_beta 90.00
_cell_angle_gamma 120.00
_space_group_name_H-M_alt 'R -3 m'
_space_group_IT_number 166
_space_group_name_Hall '-R 3 2"'
loop_
_atom_site_label
_atom_site_type_symbol
_atom_site_fract_x
_atom_site_fract_y
_atom_site_fract_z
_atom_site_occupancy
K1 K 0.0000 0.0000 0.0000 1
Y1 Y 0.0000 0.0000 0.5000 1
Br1 Br 0.0000 0.0000 0.2437 1
# Total magnetic moment   0.0 μB/f.u.
# Theoretical density   4.42 g/cm3
# D(E_F)   4.02 states/eV per cell



*two*
# SCAN KYBr2, PBEsol geometry
data_KYBr2
_cell_length_a 8.1191
_cell_length_b 8.1191
_cell_length_c 8.2383
_cell_angle_alpha 90.00
_cell_angle_beta 90.00
_cell_angle_gamma 90.00
_space_group_name_H-M_alt 'I -4 2 d'
_space_group_IT_number 122
_space_group_name_Hall 'I -4 2bw'
loop_
_atom_site_label
_atom_site_type_symbol
_atom_site_fract_x
_atom_site_fract_y
_atom_site_fract_z
_atom_site_occupancy
K1 K 0.0000 0.0000 0.0000 1
Y1 Y 0.0000 0.0000 0.5000 1
Br1 Br 0.2133 0.7500 0.6250 1
# Total magnetic moment   1.8 μB/f.u.
# Theoretical density   3.52 g/cm3
# D(E_F)   10.04 states/eV per cell



Which structure is most stable? *one*, by 0.242 eV/atom over the runner-up.